# Mn3AuF

An optimized crystal structure of Mn3AuF (PBE+U, Alexandria via LeMat-Bulk).

Computed properties:
electronic total energy	-5.79	eV/atom

Geometry as extended XYZ:
```
5
Lattice="4.3872 0.0000 0.0000 0.0000 4.3872 0.0000 0.0000 0.0000 4.3872" Properties=species:S:1:pos:R:3 pbc="T T T"
Mn 0.0000 0.0000 2.1936
Mn 0.0000 2.1936 0.0000
Mn 2.1936 0.0000 0.0000
Au 2.1936 2.1936 2.1936
F 0.0000 0.0000 0.0000
```